A plane-wave DFT calculation with PBE was carried out for a geometry-optimized PuMg2BeAu4 structure.

Unit cell a=8.869 b=8.869 c=8.869 alpha=29.79 beta=29.79 gamma=29.79
Fractional positions:
Pu 0.000 0.000 0.000
Mg 0.241 0.241 0.241
Mg 0.759 0.759 0.759
Be 0.500 0.500 0.500
Au 0.133 0.133 0.133
Au 0.402 0.402 0.402
Au 0.598 0.598 0.598
Au 0.867 0.867 0.867

Results
Formation enthalpy at 0 K = -0.346 eV per atom
Raw total energy = -37.126 eV for the cell shown